Below is an optimized crystal structure of Mn2SiH, with properties calculated at the PBE level.

a = 4.2915 Å, b = 4.2915 Å, c = 9.2604 Å
α = 90.00°, β = 90.00°, γ = 90.00°
Space group I-42d (No. 122)
Symmetry-distinct sites (fractional):
Mn (0.0375, 0.2500, 0.1250)
Si (0.0000, 0.0000, 0.5000)
H (0.0000, 0.0000, 0.0000)

Output
M_tot = 0.0 μB/f.u.
Energy = -102.385 eV for the cell shown



Below is an optimized crystal structure of Mn2SiH, with properties calculated at the PBE level.

a = 2.6311 Å, b = 2.6311 Å, c = 17.7460 Å
α = 90.00°, β = 90.00°, γ = 120.00°
Space group R-3m (No. 166, hexagonal axes)
Symmetry-distinct sites (fractional):
Mn (0.0000, 0.0000, 0.2244)
Si (0.0000, 0.0000, 0.0000)
H (0.0000, 0.0000, 0.5000)

Output
M_tot = 1.3 μB/f.u.
Energy = -83.170 eV for the cell shown



Below is an optimized crystal structure of Mn2SiH2, with properties calculated at the PBE level.

a = 2.7959 Å, b = 2.7959 Å, c = 9.9557 Å
α = 90.00°, β = 90.00°, γ = 90.00°
Space group I4/mmm (No. 139)
Symmetry-distinct sites (fractional):
Mn (0.0000, 0.0000, 0.1433)
Si (0.0000, 0.0000, 0.5000)
H (0.0000, 0.5000, 0.2500)

Output
M_tot = 2.4 μB/f.u.
Energy = -62.076 eV for the cell shown



Below is an optimized crystal structure of Mn2SiH, with properties calculated at the PBE level.

a = 5.5231 Å, b = 5.5231 Å, c = 5.5231 Å
α = 90.00°, β = 90.00°, γ = 90.00°
Space group Fm-3m (No. 225)
Symmetry-distinct sites (fractional):
Mn (0.2500, 0.2500, 0.2500)
Si (0.0000, 0.0000, 0.0000)
H (0.0000, 0.0000, 0.5000)

Output
M_tot = 4.7 μB/f.u.
Energy = -104.975 eV for the cell shown